1.
FeAgAu2 | GGA-PBE | optimized geometry

Values from the calculation:
- total DFT energy (no corrections) (eV/cell) = -17.31
- offset from the most stable computed form (eV/atom) = 0.077
- space-group type = P4mm, No. 99

Unit cell a=2.8524 b=2.8524 c=8.2003 alpha=90.00 beta=90.00 gamma=90.00
Last column: nearest neighbours and their distance in Å.
Element x y z (fractional)
Fe1 0.0000 0.0000 0.0000  4 Au 2.73, 4 Ag 2.80, 4 Fe 2.85
Ag1 0.5000 0.5000 0.2362  4 Fe 2.80, 4 Ag 2.85, 4 Au 2.96
Au1 0.0000 0.0000 0.5010  8 Au 2.85-3.02, 4 Ag 2.96
Au2 0.5000 0.5000 0.7748  4 Fe 2.73, 8 Au 2.85-3.02



2.
FeAg2Au | GGA-PBE | optimized geometry

Values from the calculation:
- total DFT energy (no corrections) (eV/cell) = -16.66
- offset from the most stable computed form (eV/atom) = 0.041
- space-group type = Pm, No. 6

Unit cell a=2.8464 b=3.8720 c=6.0527 alpha=90.00 beta=90.25 gamma=90.00
Last column: nearest neighbours and their distance in Å.
Element x y z (fractional)
Fe1 0.0000 0.0000 0.0000  4 Au 2.75, 6 Ag 2.83-3.06, 2 Fe 2.85
Ag1 0.0003 0.0000 0.4946  6 Ag 2.85-2.87, 4 Au 2.92, 2 Fe 2.99-3.06
Ag2 0.5008 0.5000 0.7529  4 Fe 2.83, 1 Au 2.83, 6 Ag 2.85-2.87
Au1 0.5001 0.5000 0.2208  4 Fe 2.75, 5 Ag 2.83-2.92, 2 Au 2.85



3.
FeAgAu2 | GGA-PBE | optimized geometry

Values from the calculation:
- total DFT energy (no corrections) (eV/cell) = -16.89
- offset from the most stable computed form (eV/atom) = 0.182
- space-group type = Pmmm, No. 47

Unit cell a=2.8658 b=4.8238 c=4.9230 alpha=90.00 beta=90.00 gamma=90.00
Last column: nearest neighbours and their distance in Å.
Element x y z (fractional)
Fe1 0.0000 0.0000 0.0000  4 Au 2.81, 4 Ag 2.85, 2 Fe 2.87
Ag1 0.5000 0.0000 0.5000  4 Au 2.81, 4 Fe 2.85, 2 Ag 2.87
Au1 0.0000 0.5000 0.5000  4 Ag 2.81, 6 Au 2.85-2.87
Au2 0.5000 0.5000 0.0000  4 Fe 2.81, 6 Au 2.85-2.87



4.
FeAg2Au | GGA-PBE | optimized geometry

Values from the calculation:
- total DFT energy (no corrections) (eV/cell) = -16.52
- offset from the most stable computed form (eV/atom) = 0.078
- space-group type = I-4m2, No. 119

Unit cell a=4.8649 b=4.8649 c=4.8649 alpha=129.61 beta=129.61 gamma=74.02
Last column: nearest neighbours and their distance in Å.
Element x y z (fractional)
Fe1 0.0000 0.0000 0.0000  4 Au 2.84, 8 Ag 2.84-2.93
Ag1 0.2500 0.7500 0.5000  4 Ag 2.84, 4 Fe 2.84, 4 Au 2.93
Ag2 0.5000 0.5000 0.0000  4 Ag 2.84, 4 Au 2.84, 4 Fe 2.93
Au1 0.7500 0.2500 0.5000  4 Fe 2.84, 8 Ag 2.84-2.93



5.
FeAg3Au | GGA-PBE | optimized geometry

Values from the calculation:
- total DFT energy (no corrections) (eV/cell) = -15.26
- offset from the most stable computed form (eV/atom) = 0.000
- space-group type = Pm-3m, No. 221

Unit cell a=4.8148 b=4.8148 c=4.8148 alpha=90.00 beta=90.00 gamma=90.00
Last column: nearest neighbours and their distance in Å.
Element x y z (fractional)
Fe1 0.0000 0.0000 0.0000  6 Ag 2.41
Ag1 0.0000 0.0000 0.5000  2 Fe 2.41
Ag2 0.0000 0.5000 0.0000  2 Fe 2.41
Ag3 0.5000 0.0000 0.0000  2 Fe 2.41
Au1 0.5000 0.5000 0.5000  12 Ag 3.40



6.
FeAgAu2 | GGA-PBE | optimized geometry

Values from the calculation:
- total DFT energy (no corrections) (eV/cell) = -17.28
- offset from the most stable computed form (eV/atom) = 0.085
- space-group type = Cmmm, No. 65

Unit cell a=4.9537 b=4.9537 c=2.8333 alpha=90.00 beta=90.00 gamma=105.17
Last column: nearest neighbours and their distance in Å.
Element x y z (fractional)
Fe1 0.0000 0.0000 0.0000  2 Fe 2.83, 8 Au 2.85, 2 Ag 3.01
Ag1 0.5000 0.5000 0.0000  2 Ag 2.83, 8 Au 2.85, 2 Fe 3.01
Au1 0.0000 0.5000 0.5000  4 Au 2.83-3.01, 4 Fe 2.85, 4 Ag 2.85
Au2 0.5000 0.0000 0.5000  4 Au 2.83-3.01, 4 Fe 2.85, 4 Ag 2.85